## YAlZn (PBE)

Data for crystalline YAlZn at its relaxed geometry.

Lattice parameters (Å, degrees): 4.6208 6.1512 5.0547 99.65 62.35 90.14
Closest atoms and distances in Å follow each position.
Sites, in units of the cell vectors:
Zn (0.8281, 0.6114, 0.7719)  5 Al 2.85-3.18, 4 Y 2.95-2.99
Zn (0.1441, 0.9558, 0.1452)  6 Y 3.00-3.17, 4 Al 3.06-3.29, 1 Zn 3.35
Al (0.4703, 0.2826, 0.5005)  2 Al 2.82-3.12, 4 Y 2.92-3.00, 1 Zn 3.14
Al (0.1515, 0.4565, 0.1305)  2 Al 2.82-3.12, 5 Zn 2.85-3.09, 4 Y 3.12-3.15
Y (0.7974, 0.1382, 0.8415)  5 Al 2.92-3.15, 5 Zn 2.99-3.20
Y (0.4970, 0.7583, 0.4372)  6 Zn 2.95-3.17, 4 Al 2.99-3.18

Results
SG = P1, No. 1
Energy = -0.1508 hartree per atom
Size of the total moment = 0.000 Bohr magnetons per cell

***

## Pm7SeI12 (PBE)

Data for crystalline Pm7SeI12 at its relaxed geometry.

Lattice parameters (Å, degrees): 9.8895 9.8895 9.8895 108.02 108.02 108.02
Closest atoms and distances in Å follow each position.
Sites, in units of the cell vectors:
I (0.1528, 0.3913, 0.4731)  3 Pm 3.16-3.18
I (0.0772, 0.6875, 0.2272)  3 Pm 3.16-3.38
I (0.2272, 0.0772, 0.6875)  3 Pm 3.16-3.38
I (0.9228, 0.3125, 0.7728)  3 Pm 3.16-3.38
I (0.5269, 0.8472, 0.6087)  3 Pm 3.16-3.18
I (0.4731, 0.1528, 0.3913)  3 Pm 3.16-3.18
I (0.3913, 0.4731, 0.1528)  3 Pm 3.16-3.18
I (0.7728, 0.9228, 0.3125)  3 Pm 3.16-3.38
I (0.3125, 0.7728, 0.9228)  3 Pm 3.16-3.38
I (0.6087, 0.5269, 0.8472)  3 Pm 3.16-3.18
I (0.6875, 0.2272, 0.0772)  3 Pm 3.16-3.38
I (0.8472, 0.6087, 0.5269)  3 Pm 3.16-3.18
Pm (0.1083, 0.0381, 0.3128)  1 Se 2.80
Pm (0.3128, 0.1083, 0.0381)  1 Se 2.80
Pm (0.8917, 0.9619, 0.6872)  1 Se 2.80
Pm (0.0381, 0.3128, 0.1083)  1 Se 2.80
Pm (0.6872, 0.8917, 0.9619)  1 Se 2.80
Pm (0.9619, 0.6872, 0.8917)  1 Se 2.80
Pm (0.5000, 0.5000, 0.5000)  6 I 3.16
Se (0.0000, 0.0000, 0.0000)  6 Pm 2.80

Results
SG = R-3, No. 148
E_form (uncorrected) = -1.38 eV per atom
Size of the total moment = 0.000 Bohr magnetons per cell

***

Number 2 is which compound? Pm7SeI12

***

Look up the size of the total moment of the first one. 0.000 Bohr magnetons per cell

***

Number 2 is which compound? Pm7SeI12